Entry 1:
DFT (GGA-PBE) results for a relaxed structure of LiPtSeI.

Cell and atoms, written as CIF:
```
data_LiPtSeI
_cell_length_a 3.753
_cell_length_b 4.914
_cell_length_c 6.991
_cell_angle_alpha 85.92
_cell_angle_beta 74.59
_cell_angle_gamma 67.60
_symmetry_space_group_name_H-M 'P 1'
_symmetry_Int_Tables_number 1
_symmetry_space_group_name_Hall 'P 1'
loop_
_atom_site_label
_atom_site_type_symbol
_atom_site_fract_x
_atom_site_fract_y
_atom_site_fract_z
Li1 Li 0.000 0.000 0.000
Pt1 Pt 0.655 0.558 0.136
Se1 Se 0.328 0.443 0.903
I1 I 0.959 0.687 0.402
```

Properties
**Uncorrected formation energy**: -0.58 eV per atom
**Uncorrected energy**: -15.3 eV for the cell shown
**Polymorph energy (0 for the lowest one)**: 0.0 meV/atom

Entry 2:
DFT (GGA-PBE) results for a relaxed structure of PbW2Cl.

Cell and atoms, written as CIF:
```
data_PbW2Cl
_cell_length_a 3.192
_cell_length_b 3.192
_cell_length_c 10.490
_cell_angle_alpha 99.84
_cell_angle_beta 99.84
_cell_angle_gamma 60.00
_symmetry_space_group_name_H-M 'P 1'
_symmetry_Int_Tables_number 1
_symmetry_space_group_name_Hall 'P 1'
loop_
_atom_site_label
_atom_site_type_symbol
_atom_site_fract_x
_atom_site_fract_y
_atom_site_fract_z
Pb1 Pb 0.000 0.000 0.000
W1 W 0.170 0.170 0.566
W2 W 0.569 0.569 0.741
Cl1 Cl 0.437 0.437 0.386
```

Properties
**Uncorrected formation energy**: 0.21 eV per atom
**Uncorrected energy**: -30.6 eV for the cell shown
**Polymorph energy (0 for the lowest one)**: 0.0 meV/atom

Entry 3:
DFT (GGA-PBE) results for a relaxed structure of AsIr2Br4.

Cell and atoms, written as CIF:
```
data_AsIr2Br4
_cell_length_a 7.425
_cell_length_b 7.425
_cell_length_c 7.425
_cell_angle_alpha 136.93
_cell_angle_beta 136.93
_cell_angle_gamma 62.55
_symmetry_space_group_name_H-M 'P 1'
_symmetry_Int_Tables_number 1
_symmetry_space_group_name_Hall 'P 1'
loop_
_atom_site_label
_atom_site_type_symbol
_atom_site_fract_x
_atom_site_fract_y
_atom_site_fract_z
As1 As 0.000 0.000 0.000
Ir1 Ir 0.408 0.408 0.000
Ir2 Ir 0.592 0.592 0.000
Br1 Br 0.000 0.500 0.500
Br2 Br 0.209 0.209 0.000
Br3 Br 0.500 0.000 0.500
Br4 Br 0.791 0.791 0.000
```

Properties
**Uncorrected formation energy**: 0.79 eV per atom
**Uncorrected energy**: -23.5 eV for the cell shown

Let's list M_tot in order: 0.0 0.0 3.0 μB/cell.